# RbMg3Ti | Alexandria | PBE-GGA | optimized geometry
# ΔE_f ... 15.53 kcal/mol of atoms
# Offset from the most stable computed form ... 0 meV/atom
# Calculated total energy ... -10.3 eV per cell
data_RbMg3Ti
_cell_length_a 5.700
_cell_length_b 5.700
_cell_length_c 5.700
_cell_angle_alpha 90.00
_cell_angle_beta 90.00
_cell_angle_gamma 90.00
_space_group_name_H-M_alt 'P m -3 m'
_space_group_IT_number 221
_space_group_name_Hall '-P 4 2 3'
loop_
_atom_site_label
_atom_site_fract_x
_atom_site_fract_y
_atom_site_fract_z
Rb1 0.000 0.000 0.000
Mg1 0.000 0.500 0.500
Ti1 0.500 0.500 0.500



# RbMg6Tl6 | Alexandria | PBE-GGA | optimized geometry
# ΔE_f ... -0.81 kcal/mol of atoms
# Calculated total energy ... -50.4 eV per cell
data_RbMg6Tl6
_cell_length_a 6.384
_cell_length_b 10.197
_cell_length_c 10.858
_cell_angle_alpha 90.00
_cell_angle_beta 90.00
_cell_angle_gamma 90.00
_space_group_name_H-M_alt 'I m m m'
_space_group_IT_number 71
_space_group_name_Hall '-I 2 2'
loop_
_atom_site_label
_atom_site_fract_x
_atom_site_fract_y
_atom_site_fract_z
Rb1 0.000 0.000 0.000
Mg1 0.000 0.258 0.500
Mg2 0.250 0.250 0.250
Tl1 0.000 0.000 0.344
Tl2 0.000 0.346 0.000
Tl3 0.000 0.500 0.316



# RbMg2Tl2 | Alexandria | PBE-GGA | optimized geometry
# ΔE_f ... -0.39 kcal/mol of atoms
# Offset from the most stable computed form ... 0 meV/atom
# Calculated total energy ... -17.9 eV per cell
data_RbMg2Tl2
_cell_length_a 9.494
_cell_length_b 9.494
_cell_length_c 3.308
_cell_angle_alpha 90.00
_cell_angle_beta 90.00
_cell_angle_gamma 90.00
_space_group_name_H-M_alt 'P 4/m b m'
_space_group_IT_number 127
_space_group_name_Hall '-P 4 2ab'
loop_
_atom_site_label
_atom_site_fract_x
_atom_site_fract_y
_atom_site_fract_z
Rb1 0.000 0.000 0.000
Mg1 0.126 0.374 0.000
Tl1 0.161 0.661 0.500



# Rb3MgTl | Alexandria | PBE-GGA | optimized geometry
# ΔE_f ... 6.52 kcal/mol of atoms
# Offset from the most stable computed form ... 0 meV/atom
# Calculated total energy ... -5.4 eV per cell
data_Rb3MgTl
_cell_length_a 7.094
_cell_length_b 7.094
_cell_length_c 7.094
_cell_angle_alpha 90.00
_cell_angle_beta 90.00
_cell_angle_gamma 90.00
_space_group_name_H-M_alt 'P m -3 m'
_space_group_IT_number 221
_space_group_name_Hall '-P 4 2 3'
loop_
_atom_site_label
_atom_site_fract_x
_atom_site_fract_y
_atom_site_fract_z
Rb1 0.000 0.000 0.500
Mg1 0.500 0.500 0.500
Tl1 0.000 0.000 0.000



# RbMgTl3 | Alexandria | PBE-GGA | optimized geometry
# ΔE_f ... -0.88 kcal/mol of atoms
# Offset from the most stable computed form ... 0 meV/atom
# Calculated total energy ... -39.4 eV per cell
data_RbMgTl3
_cell_length_a 7.965
_cell_length_b 14.232
_cell_length_c 6.019
_cell_angle_alpha 90.00
_cell_angle_beta 90.00
_cell_angle_gamma 90.00
_space_group_name_H-M_alt 'C m c m'
_space_group_IT_number 63
_space_group_name_Hall '-C 2c 2'
loop_
_atom_site_label
_atom_site_fract_x
_atom_site_fract_y
_atom_site_fract_z
Rb1 0.000 0.105 0.250
Mg1 0.000 0.500 0.000
Tl1 0.000 0.311 0.750
Tl2 0.222 0.351 0.250



# RbMg4Tl6 | Alexandria | PBE-GGA | optimized geometry
# ΔE_f ... -0.67 kcal/mol of atoms
# Calculated total energy ... -21.9 eV per cell
data_RbMg4Tl6
_cell_length_a 8.7742
_cell_length_b 8.7742
_cell_length_c 4.9190
_cell_angle_alpha 90.00
_cell_angle_beta 90.00
_cell_angle_gamma 120.00
_space_group_name_H-M_alt 'P -6 m 2'
_space_group_IT_number 187
_space_group_name_Hall 'P -6 2'
loop_
_atom_site_label
_atom_site_fract_x
_atom_site_fract_y
_atom_site_fract_z
Rb1 0.0000 0.0000 0.0000
Mg1 0.3333 0.6667 0.0000
Mg2 0.4255 0.2128 0.5000
Tl1 0.1993 0.3987 0.5000
Tl2 0.5334 0.0668 0.0000



# RbMgTl3 | Alexandria | PBE-GGA | optimized geometry
# ΔE_f ... 1.57 kcal/mol of atoms
# Offset from the most stable computed form ... 106 meV/atom
# Calculated total energy ... -9.3 eV per cell
data_RbMgTl3
_cell_length_a 5.720
_cell_length_b 5.720
_cell_length_c 5.720
_cell_angle_alpha 90.00
_cell_angle_beta 90.00
_cell_angle_gamma 90.00
_space_group_name_H-M_alt 'P m -3 m'
_space_group_IT_number 221
_space_group_name_Hall '-P 4 2 3'
loop_
_atom_site_label
_atom_site_fract_x
_atom_site_fract_y
_atom_site_fract_z
Rb1 0.000 0.000 0.000
Mg1 0.500 0.500 0.500
Tl1 0.000 0.500 0.500



# RbMgTl6 | Alexandria | PBE-GGA | optimized geometry
# ΔE_f ... -0.09 kcal/mol of atoms
# Offset from the most stable computed form ... 23 meV/atom
# Calculated total energy ... -16.8 eV per cell
data_RbMgTl6
_cell_length_a 5.365
_cell_length_b 5.365
_cell_length_c 9.583
_cell_angle_alpha 90.00
_cell_angle_beta 90.00
_cell_angle_gamma 90.00
_space_group_name_H-M_alt 'P 4/m m m'
_space_group_IT_number 123
_space_group_name_Hall '-P 4 2'
loop_
_atom_site_label
_atom_site_fract_x
_atom_site_fract_y
_atom_site_fract_z
Rb1 0.000 0.000 0.000
Mg1 0.000 0.000 0.500
Tl1 0.000 0.500 0.331
Tl2 0.500 0.500 0.160



# RbMg6Tl8 | Alexandria | PBE-GGA | optimized geometry
# ΔE_f ... 0.96 kcal/mol of atoms
# Calculated total energy ... -86.5 eV per cell
data_RbMg6Tl8
_cell_length_a 9.5854
_cell_length_b 9.5854
_cell_length_c 16.6415
_cell_angle_alpha 90.00
_cell_angle_beta 90.00
_cell_angle_gamma 120.00
_space_group_name_H-M_alt 'R -3'
_space_group_IT_number 148
_space_group_name_Hall '-R 3'
loop_
_atom_site_label
_atom_site_fract_x
_atom_site_fract_y
_atom_site_fract_z
Rb1 0.0000 0.0000 0.0000
Mg1 0.9995 0.1984 0.3741
Tl1 0.0000 0.0000 0.2248
Tl2 0.0044 0.6790 0.1276



# RbMg3Tl | Alexandria | PBE-GGA | optimized geometry
# ΔE_f ... 5.52 kcal/mol of atoms
# Offset from the most stable computed form ... 0 meV/atom
# Calculated total energy ... -6.9 eV per cell
data_RbMg3Tl
_cell_length_a 5.697
_cell_length_b 5.697
_cell_length_c 5.697
_cell_angle_alpha 90.00
_cell_angle_beta 90.00
_cell_angle_gamma 90.00
_space_group_name_H-M_alt 'P m -3 m'
_space_group_IT_number 221
_space_group_name_Hall '-P 4 2 3'
loop_
_atom_site_label
_atom_site_fract_x
_atom_site_fract_y
_atom_site_fract_z
Rb1 0.000 0.000 0.000
Mg1 0.000 0.500 0.500
Tl1 0.500 0.500 0.500



# RbMgTl | Alexandria | PBE-GGA | optimized geometry
# ΔE_f ... 0.68 kcal/mol of atoms
# Offset from the most stable computed form ... 91 meV/atom
# Calculated total energy ... -9.7 eV per cell
data_RbMgTl
_cell_length_a 4.045
_cell_length_b 4.045
_cell_length_c 13.716
_cell_angle_alpha 90.00
_cell_angle_beta 90.00
_cell_angle_gamma 90.00
_space_group_name_H-M_alt 'I 4 m m'
_space_group_IT_number 107
_space_group_name_Hall 'I 4 -2'
loop_
_atom_site_label
_atom_site_fract_x
_atom_site_fract_y
_atom_site_fract_z
Rb1 0.000 0.000 0.000
Mg1 0.000 0.000 0.284
Tl1 0.000 0.000 0.703



# RbMg2Tl2 | Alexandria | PBE-GGA | optimized geometry
# ΔE_f ... -0.37 kcal/mol of atoms
# Offset from the most stable computed form ... 1 meV/atom
# Calculated total energy ... -17.9 eV per cell
data_RbMg2Tl2
_cell_length_a 5.011
_cell_length_b 5.011
_cell_length_c 13.139
_cell_angle_alpha 90.00
_cell_angle_beta 90.00
_cell_angle_gamma 90.00
_space_group_name_H-M_alt 'I 4/m m m'
_space_group_IT_number 139
_space_group_name_Hall '-I 4 2'
loop_
_atom_site_label
_atom_site_fract_x
_atom_site_fract_y
_atom_site_fract_z
Rb1 0.000 0.000 0.000
Mg1 0.000 0.500 0.250
Tl1 0.000 0.000 0.379



Spin magnetization list, top to bottom, in μB/f.u.: 3.9; 0.0; 0.0; 0.0; 0.0; 0.0; 0.0; 0.0; 0.0; 0.0; 0.0; 0.0